(1)
Computed, not measured: crystalline La5Te5N2 at its relaxed geometry at the GGA-PBE level of DFT.

Properties
Final energy = -6.220 eV/atom
Formation energy from raw total energies = -1470 meV/atom

abc: 4.2042 7.6659 11.3813
angles: 99.12 90.00 105.92
Fractional positions:
Te  0.3388  0.6776  0.9047
Te  0.5000  0.0000  0.5000
La  0.0923  0.1846  0.3320
Te  0.6612  0.3224  0.0953
Te  0.2364  0.4728  0.6147
La  0.3659  0.7318  0.2136
La  0.0000  0.0000  0.0000
N  0.9532  0.9063  0.1988
N  0.0468  0.0937  0.8012
Te  0.7636  0.5272  0.3853
La  0.6341  0.2682  0.7864
La  0.9077  0.8154  0.6680

(2)
Computed, not measured: crystalline La4TeN at its relaxed geometry at the GGA-PBE level of DFT.

Properties
Final energy = -6.099 eV/atom
Formation energy from raw total energies = -903 meV/atom

abc: 6.4634 7.7437 8.5929
angles: 110.41 104.71 105.72
Fractional positions:
N  0.1870  0.9370  0.8740
La  0.0370  0.8405  0.0959
La  0.7183  0.0888  0.4064
La  0.9630  0.1595  0.9041
La  0.2817  0.9112  0.5936
La  0.5590  0.2554  0.0959
La  0.1881  0.3176  0.4064
La  0.8119  0.6824  0.5936
N  0.8130  0.0630  0.1260
Te  0.3656  0.6156  0.2312
Te  0.6344  0.3844  0.7688
La  0.4410  0.7446  0.9041

(3)
Computed, not measured: crystalline LaTe3N at its relaxed geometry at the GGA-PBE level of DFT.

Properties
Energy relative to the lowest polymorph listed for this composition = 1.0514 eV/atom
Final energy = -3.703 eV/atom
Formation energy from raw total energies = 832 meV/atom

abc: 6.2062 6.2062 6.2062
angles: 90.00 90.00 90.00
Fractional positions:
La  0.0000  0.0000  0.0000
N  0.5000  0.5000  0.5000
Te  0.0000  0.0000  0.5000
Te  0.5000  0.0000  0.0000
Te  0.0000  0.5000  0.0000

no.,total magnetization (μB per atom)
1,0.00
2,0.00
3,0.94